The following is a DFT calculation (PBE-GGA) of a geometry-optimized Re2IrCl structure.

The value obtained for the density of states at the Fermi level is 3.790 states/eV/f.u. Its offset from the most stable computed form is 65.8 kJ/mol of atoms. The crystal system is cubic.

The space group is F-43m (No. 216) and the conventional cell measures 6.261, 6.261 and 6.261 Å, with angles of 90.00, 90.00 and 90.00 degrees. The asymmetric unit holds Re at (0.000, 0.000, 0.000), Re at (0.250, 0.250, 0.250), Ir at (0.000, 0.000, 0.500) and Cl at (0.250, 0.250, 0.750).

---

The following is a DFT calculation (PBE-GGA) of a geometry-optimized Re2IrCl structure.

The value obtained for the density of states at the Fermi level is 3.325 states/eV/f.u. Its offset from the most stable computed form is 36.7 kJ/mol of atoms. The crystal system is monoclinic.

The space group is C2/m (No. 12) and the conventional cell measures 7.944, 2.774 and 5.603 Å, with angles of 90.00, 99.52 and 90.00 degrees. The asymmetric unit holds Re at (0.248, 0.000, 0.267), Ir at (0.000, 0.500, 0.000) and Cl at (0.000, 0.000, 0.500).

---

The following is a DFT calculation (PBE-GGA) of a geometry-optimized ReIrCl2 structure.

The value obtained for the density of states at the Fermi level is 3.159 states/eV/f.u. Its offset from the most stable computed form is 41.7 kJ/mol of atoms. The crystal system is monoclinic.

The space group is C2/m (No. 12) and the conventional cell measures 12.888, 2.937 and 4.683 Å, with angles of 90.00, 96.51 and 90.00 degrees. The asymmetric unit holds Re at (0.000, 0.000, 0.000), Ir at (0.000, 0.500, 0.500) and Cl at (0.137, 0.500, 0.213).

---

The following is a DFT calculation (PBE-GGA) of a geometry-optimized Re3IrCl structure.

The value obtained for the density of states at the Fermi level is 4.581 states/eV/f.u. Its offset from the most stable computed form is 73.9 kJ/mol of atoms. The crystal system is cubic.

The space group is Pm-3m (No. 221) and the conventional cell measures 4.812, 4.812 and 4.812 Å, with angles of 90.00, 90.00 and 90.00 degrees. The asymmetric unit holds Re at (0.000, 0.000, 0.500), Ir at (0.000, 0.000, 0.000) and Cl at (0.500, 0.500, 0.500).

---

The following is a DFT calculation (PBE-GGA) of a geometry-optimized ReIrCl2 structure.

The value obtained for the density of states at the Fermi level is 3.389 states/eV/f.u. Its offset from the most stable computed form is 11.1 kJ/mol of atoms. The crystal system is tetragonal.

The space group is P4mm (No. 99) and the conventional cell measures 2.971, 2.971 and 8.671 Å, with angles of 90.00, 90.00 and 90.00 degrees. The asymmetric unit holds Re at (0.000, 0.000, 0.000), Ir at (0.500, 0.500, 0.825), Cl at (0.000, 0.000, 0.613) and Cl at (0.500, 0.500, 0.202).

---

The following is a DFT calculation (PBE-GGA) of a geometry-optimized ReIrCl4 structure.

The value obtained for the density of states at the Fermi level is 8.353 states/eV/f.u. The crystal system is cubic. The value obtained for the uncorrected energy is -2.773 eV per atom.

The space group is F-43m (No. 216) and the conventional cell measures 7.904, 7.904 and 7.904 Å, with angles of 90.00, 90.00 and 90.00 degrees. The asymmetric unit holds Re at (0.000, 0.000, 0.000), Ir at (0.250, 0.250, 0.250) and Cl at (0.125, 0.125, 0.625).

---

The following is a DFT calculation (PBE-GGA) of a geometry-optimized Re2IrCl structure.

The value obtained for the density of states at the Fermi level is 1.204 states/eV/f.u. Its offset from the most stable computed form is 45.7 kJ/mol of atoms. The crystal system is cubic.

The space group is Fm-3m (No. 225) and the conventional cell measures 6.201, 6.201 and 6.201 Å, with angles of 90.00, 90.00 and 90.00 degrees. The asymmetric unit holds Re at (0.250, 0.250, 0.250), Ir at (0.000, 0.000, 0.000) and Cl at (0.000, 0.000, 0.500).

---

The following is a DFT calculation (PBE-GGA) of a geometry-optimized Re4IrCl structure.

The value obtained for the density of states at the Fermi level is 6.661 states/eV/f.u. The crystal system is cubic. The value obtained for the uncorrected energy is -8.890 eV per atom.

The space group is F-43m (No. 216) and the conventional cell measures 7.363, 7.363 and 7.363 Å, with angles of 90.00, 90.00 and 90.00 degrees. The asymmetric unit holds Re at (0.125, 0.125, 0.125), Ir at (0.000, 0.000, 0.500) and Cl at (0.250, 0.250, 0.750).

---

The following is a DFT calculation (PBE-GGA) of a geometry-optimized Re2IrCl structure.

The value obtained for the density of states at the Fermi level is 2.854 states/eV/f.u. Its offset from the most stable computed form is 0.0 kJ/mol of atoms. The crystal system is tetragonal.

The space group is P4mm (No. 99) and the conventional cell measures 2.823, 2.823 and 8.608 Å, with angles of 90.00, 90.00 and 90.00 degrees. The asymmetric unit holds Re at (0.000, 0.000, 0.000), Re at (0.500, 0.500, 0.211), Ir at (0.500, 0.500, 0.789) and Cl at (0.000, 0.000, 0.410).

---

The following is a DFT calculation (PBE-GGA) of a geometry-optimized ReIrCl3 structure.

The value obtained for the density of states at the Fermi level is 14.352 states/eV/f.u. Its offset from the most stable computed form is 21.9 kJ/mol of atoms. The crystal system is cubic.

The space group is Pm-3m (No. 221) and the conventional cell measures 4.757, 4.757 and 4.757 Å, with angles of 90.00, 90.00 and 90.00 degrees. The asymmetric unit holds Re at (0.000, 0.000, 0.000), Ir at (0.500, 0.500, 0.500) and Cl at (0.000, 0.000, 0.500).

---

The following is a DFT calculation (PBE-GGA) of a geometry-optimized ReIrSCl2 structure.

The value obtained for the density of states at the Fermi level is 2.135 states/eV/f.u. Its offset from the most stable computed form is 0.0 kJ/mol of atoms. The crystal system is tetragonal.

The space group is P4/mmm (No. 123) and the conventional cell measures 4.786, 4.786 and 4.723 Å, with angles of 90.00, 90.00 and 90.00 degrees. The asymmetric unit holds Re at (0.000, 0.000, 0.000), Ir at (0.500, 0.500, 0.500), S at (0.500, 0.500, 0.000) and Cl at (0.000, 0.500, 0.500).

---

The following is a DFT calculation (PBE-GGA) of a geometry-optimized ReIrSCl2 structure.

The value obtained for the density of states at the Fermi level is 9.692 states/eV/f.u. Its offset from the most stable computed form is 2.3 kJ/mol of atoms. The crystal system is tetragonal.

The space group is P4/mmm (No. 123) and the conventional cell measures 4.840, 4.840 and 4.500 Å, with angles of 90.00, 90.00 and 90.00 degrees. The asymmetric unit holds Re at (0.000, 0.000, 0.000), Ir at (0.500, 0.500, 0.500), S at (0.000, 0.000, 0.500) and Cl at (0.000, 0.500, 0.000).